[1]
# Cu2H5Pd3 PBE optimized geometry
# density of states at the Fermi level	7.00	states/eV/cell
# E_tot	-4.024	eV per atom
data_Cu2H5Pd3
_chemical_formula_sum 'Cu8 H20 Pd12'
_symmetry_space_group_name_H-M 'I b a m'
_symmetry_Int_Tables_number 72
_symmetry_space_group_name_Hall '-I 2 2c'
_cell_length_a 4.988
_cell_length_b 13.041
_cell_length_c 5.583
_cell_angle_alpha 90.00
_cell_angle_beta 90.00
_cell_angle_gamma 90.00
loop_
_atom_site_label
_atom_site_fract_x
_atom_site_fract_y
_atom_site_fract_z
_atom_site_occupancy
Cu1 0.015 0.196 0.000 1
H1 0.000 0.299 0.250 1
H2 0.000 0.500 0.250 1
H3 0.125 0.077 0.500 1
Pd1 0.000 0.000 0.250 1
Pd2 0.005 0.393 0.000 1

---

[2]
# LiSmGe4 PBE optimized geometry
# E_tot	-4.486	eV per atom
data_LiSmGe4
_chemical_formula_sum 'Li4 Sm4 Ge16'
_symmetry_space_group_name_H-M 'F -4 3 m'
_symmetry_Int_Tables_number 216
_symmetry_space_group_name_Hall 'F -4 2 3'
_cell_length_a 7.893
_cell_length_b 7.893
_cell_length_c 7.893
_cell_angle_alpha 90.00
_cell_angle_beta 90.00
_cell_angle_gamma 90.00
loop_
_atom_site_label
_atom_site_fract_x
_atom_site_fract_y
_atom_site_fract_z
_atom_site_occupancy
Li1 0.000 0.000 0.000 1
Sm1 0.250 0.250 0.250 1
Ge1 0.126 0.126 0.626 1

---

[3]
# CaGdMgIr PBE optimized geometry
# density of states at the Fermi level	14.46	states/eV/cell
# E_tot	-6.905	eV per atom
data_CaGdMgIr
_chemical_formula_sum 'Ca4 Gd4 Mg4 Ir4'
_symmetry_space_group_name_H-M 'F -4 3 m'
_symmetry_Int_Tables_number 216
_symmetry_space_group_name_Hall 'F -4 2 3'
_cell_length_a 7.164
_cell_length_b 7.164
_cell_length_c 7.164
_cell_angle_alpha 90.00
_cell_angle_beta 90.00
_cell_angle_gamma 90.00
loop_
_atom_site_label
_atom_site_fract_x
_atom_site_fract_y
_atom_site_fract_z
_atom_site_occupancy
Ca1 0.000 0.000 0.000 1
Gd1 0.000 0.000 0.500 1
Mg1 0.250 0.250 0.750 1
Ir1 0.250 0.250 0.250 1

---

[4]
# ZrSb2IO PBE optimized geometry
# offset from the most stable computed form	0.696	eV per atom
# density of states at the Fermi level	11.61	states/eV/cell
# E_tot	-4.029	eV per atom
data_ZrSb2IO
_chemical_formula_sum 'Zr1 Sb2 I1 O1'
_symmetry_space_group_name_H-M 'P 4/m m m'
_symmetry_Int_Tables_number 123
_symmetry_space_group_name_Hall '-P 4 2'
_cell_length_a 5.575
_cell_length_b 5.575
_cell_length_c 5.496
_cell_angle_alpha 90.00
_cell_angle_beta 90.00
_cell_angle_gamma 90.00
loop_
_atom_site_label
_atom_site_fract_x
_atom_site_fract_y
_atom_site_fract_z
_atom_site_occupancy
Zr1 0.000 0.000 0.000 1
Sb1 0.000 0.500 0.000 1
I1 0.000 0.000 0.500 1
O1 0.500 0.500 0.500 1

---

[5]
# Pr2Sm3DyAs6 PBE optimized geometry
# density of states at the Fermi level	3.49	states/eV/cell
# E_tot	-6.198	eV per atom
data_Pr2Sm3DyAs6
_chemical_formula_sum 'Pr4 Sm6 Dy2 As12'
_symmetry_space_group_name_H-M 'C 1 2/m 1'
_symmetry_Int_Tables_number 12
_symmetry_space_group_name_Hall '-C 2y'
_cell_length_a 18.440
_cell_length_b 4.234
_cell_length_c 8.461
_cell_angle_alpha 90.00
_cell_angle_beta 103.29
_cell_angle_gamma 90.00
loop_
_atom_site_label
_atom_site_fract_x
_atom_site_fract_y
_atom_site_fract_z
_atom_site_occupancy
Pr1 0.166 0.000 0.332 1
Sm1 0.000 0.500 0.500 1
Sm2 0.167 0.000 0.834 1
Dy1 0.000 0.500 0.000 1
As1 0.002 0.000 0.755 1
As2 0.165 0.500 0.078 1
As3 0.165 0.500 0.586 1

---

[6]
# SrLaS2Cl PBE optimized geometry
# offset from the most stable computed form	0.000	eV per atom
# E_tot	-5.133	eV per atom
data_SrLaS2Cl
_chemical_formula_sum 'Sr1 La1 S2 Cl1'
_symmetry_space_group_name_H-M 'P 4/m m m'
_symmetry_Int_Tables_number 123
_symmetry_space_group_name_Hall '-P 4 2'
_cell_length_a 5.542
_cell_length_b 5.542
_cell_length_c 5.399
_cell_angle_alpha 90.00
_cell_angle_beta 90.00
_cell_angle_gamma 90.00
loop_
_atom_site_label
_atom_site_fract_x
_atom_site_fract_y
_atom_site_fract_z
_atom_site_occupancy
Sr1 0.000 0.000 0.000 1
La1 0.500 0.500 0.500 1
S1 0.000 0.500 0.500 1
Cl1 0.500 0.500 0.000 1

---

[7]
# CaLaMo PBE optimized geometry
# offset from the most stable computed form	0.000	eV per atom
# density of states at the Fermi level	10.64	states/eV/cell
# E_tot	-5.343	eV per atom
data_CaLaMo
_chemical_formula_sum 'Ca4 La4 Mo4'
_symmetry_space_group_name_H-M 'F m m 2'
_symmetry_Int_Tables_number 42
_symmetry_space_group_name_Hall 'F 2 -2'
_cell_length_a 3.755
_cell_length_b 5.543
_cell_length_c 15.912
_cell_angle_alpha 90.00
_cell_angle_beta 90.00
_cell_angle_gamma 90.00
loop_
_atom_site_label
_atom_site_fract_x
_atom_site_fract_y
_atom_site_fract_z
_atom_site_occupancy
Ca1 0.000 0.000 0.000 1
La1 0.000 0.000 0.723 1
Mo1 0.000 0.000 0.351 1

---

[8]
# Pu2Be4Si3Ni PBE optimized geometry
# density of states at the Fermi level	17.53	states/eV/cell
# E_tot	-6.899	eV per atom
data_Pu2Be4Si3Ni
_chemical_formula_sum 'Pu2 Be4 Si3 Ni1'
_symmetry_space_group_name_H-M 'P -4 m 2'
_symmetry_Int_Tables_number 115
_symmetry_space_group_name_Hall 'P -4 -2'
_cell_length_a 3.834
_cell_length_b 3.834
_cell_length_c 9.505
_cell_angle_alpha 90.00
_cell_angle_beta 90.00
_cell_angle_gamma 90.00
loop_
_atom_site_label
_atom_site_fract_x
_atom_site_fract_y
_atom_site_fract_z
_atom_site_occupancy
Pu1 0.000 0.500 0.248 1
Be1 0.000 0.000 0.500 1
Be2 0.000 0.500 0.874 1
Be3 0.500 0.500 0.500 1
Si1 0.000 0.000 0.000 1
Si2 0.000 0.500 0.635 1
Ni1 0.500 0.500 0.000 1

---

[9]
# Pr2ErBr PBE optimized geometry
# offset from the most stable computed form	0.000	eV per atom
# density of states at the Fermi level	12.55	states/eV/cell
# E_tot	-4.493	eV per atom
data_Pr2ErBr
_chemical_formula_sum 'Pr6 Er3 Br3'
_symmetry_space_group_name_H-M 'R -3 m'
_symmetry_Int_Tables_number 166
_symmetry_space_group_name_Hall '-R 3 2"'
_cell_length_a 3.7210
_cell_length_b 3.7210
_cell_length_c 31.9964
_cell_angle_alpha 90.00
_cell_angle_beta 90.00
_cell_angle_gamma 120.00
loop_
_atom_site_label
_atom_site_fract_x
_atom_site_fract_y
_atom_site_fract_z
_atom_site_occupancy
Pr1 0.0000 0.0000 0.2431 1
Er1 0.0000 0.0000 0.0000 1
Br1 0.0000 0.0000 0.5000 1

---

[10]
# Ti4Fe3Os PBE optimized geometry
# density of states at the Fermi level	2.59	states/eV/cell
# E_tot	-8.997	eV per atom
data_Ti4Fe3Os
_chemical_formula_sum 'Ti4 Fe3 Os1'
_symmetry_space_group_name_H-M 'P 4/m m m'
_symmetry_Int_Tables_number 123
_symmetry_space_group_name_Hall '-P 4 2'
_cell_length_a 2.998
_cell_length_b 2.998
_cell_length_c 11.944
_cell_angle_alpha 90.00
_cell_angle_beta 90.00
_cell_angle_gamma 90.00
loop_
_atom_site_label
_atom_site_fract_x
_atom_site_fract_y
_atom_site_fract_z
_atom_site_occupancy
Ti1 0.000 0.000 0.122 1
Ti2 0.000 0.000 0.368 1
Fe1 0.500 0.500 0.000 1
Fe2 0.500 0.500 0.245 1
Os1 0.500 0.500 0.500 1

---

[11]
# MnZn4Se5 PBE optimized geometry
# offset from the most stable computed form	0.009	eV per atom
# density of states at the Fermi level	0.12	states/eV/cell
# E_tot	-3.808	eV per atom
data_MnZn4Se5
_chemical_formula_sum 'Mn2 Zn8 Se10'
_symmetry_space_group_name_H-M 'P 3 m 1'
_symmetry_Int_Tables_number 156
_symmetry_space_group_name_Hall 'P 3 -2"'
_cell_length_a 4.0751
_cell_length_b 4.0751
_cell_length_c 33.4845
_cell_angle_alpha 90.00
_cell_angle_beta 90.00
_cell_angle_gamma 120.00
loop_
_atom_site_label
_atom_site_fract_x
_atom_site_fract_y
_atom_site_fract_z
_atom_site_occupancy
Mn1 0.0000 0.0000 0.0000 1
Mn2 0.0000 0.0000 0.2031 1
Zn1 0.0000 0.0000 0.4044 1
Zn2 0.0000 0.0000 0.6024 1
Zn3 0.0000 0.0000 0.8002 1
Zn4 0.3333 0.6667 0.1023 1
Zn5 0.3333 0.6667 0.3055 1
Zn6 0.3333 0.6667 0.5034 1
Zn7 0.3333 0.6667 0.7013 1
Zn8 0.3333 0.6667 0.8991 1
Se1 0.0000 0.0000 0.1272 1
Se2 0.0000 0.0000 0.3299 1
Se3 0.0000 0.0000 0.5280 1
Se4 0.0000 0.0000 0.7260 1
Se5 0.0000 0.0000 0.9243 1
Se6 0.3333 0.6667 0.0280 1
Se7 0.3333 0.6667 0.2311 1
Se8 0.3333 0.6667 0.4290 1
Se9 0.3333 0.6667 0.6270 1
Se10 0.3333 0.6667 0.8249 1

---

[12]
# Tm6PdRu PBE optimized geometry
# density of states at the Fermi level	12.41	states/eV/cell
# E_tot	-5.435	eV per atom
data_Tm6PdRu
_chemical_formula_sum 'Tm12 Pd2 Ru2'
_symmetry_space_group_name_H-M 'C 1 2/m 1'
_symmetry_Int_Tables_number 12
_symmetry_space_group_name_Hall '-C 2y'
_cell_length_a 6.643
_cell_length_b 10.841
_cell_length_c 6.650
_cell_angle_alpha 90.00
_cell_angle_beta 108.95
_cell_angle_gamma 90.00
loop_
_atom_site_label
_atom_site_fract_x
_atom_site_fract_y
_atom_site_fract_z
_atom_site_occupancy
Tm1 0.239 0.177 0.242 1
Tm2 0.250 0.000 0.758 1
Pd1 0.000 0.500 0.500 1
Ru1 0.000 0.000 0.000 1

---

Among the records above, which one has the lowest E_tot? Ti4Fe3Os

---

What is the formula in the fourth record? ZrSb2IO

---

Which of these has the lowest E_tot? Ti4Fe3Os

---

Which value of E_tot does entry 2 give? -4.486 eV per atom